Material: ZnCoPdRh
Method: DFT, PBE
State: optimized geometry

The structure in extended XYZ format:
```
4
Lattice="4.2639 0.0000 0.0000 2.1320 3.6927 0.0000 2.1320 1.2309 3.4815" Properties=species:S:1:pos:R:3 pbc="T T T"
Co 6.3959 3.6927 2.6111
Zn 2.1320 1.2309 0.8704
Rh 4.2639 2.4618 1.7407
Pd 0.0000 0.0000 0.0000
```

## Properties
**Space-group type**: F-43m (216)
**Uncorrected energy**: -5.360 eV/atom
**Total magnetization**: 2.90 Bohr magnetons per cell